# 1
Entry from Alexandria: crystalline HfFe2CoSi at its relaxed geometry (PBE).

## Properties
E_form (uncorrected): 0.347 eV per atom
V: 15.72 Å³/atom

Cell: 4.368 4.368 4.120 Å, 90.00 90.00 90.00°
Space group P4/mmm (No. 123)
Symmetry-distinct sites (fractional):
Hf 0.000 0.000 0.000
Fe 0.000 0.500 0.500
Co 0.500 0.500 0.500
Si 0.500 0.500 0.000

=====

# 2
Entry from Alexandria: crystalline HfFeCoSi2 at its relaxed geometry (PBE).

## Properties
E_form (uncorrected): -0.700 eV per atom
V: 13.49 Å³/atom

Cell: 3.792 3.792 9.383 Å, 90.00 90.00 90.00°
Space group I-4m2 (No. 119)
Symmetry-distinct sites (fractional):
Hf 0.000 0.000 0.000
Fe 0.000 0.500 0.250
Co 0.000 0.500 0.750
Si 0.000 0.000 0.375

=====

no.,total DFT energy (no corrections) (eV for the cell shown)
1,-37.672
2,-79.736